{"formula": "BTe2I", "functional": "PBE", "state": "optimized geometry", "magnetic_moment_mub_per_atom": 0.0000, "crystal_system": "trigonal", "energy_ev_per_cell": -11.9, "formation_energy_uncorrected_ev_per_fu": 2.66, "lattice": [[1.857, 1.072, 8.103], [-1.857, 1.072, 8.103], [0.000, -2.144, 8.103]], "species": ["B", "Te", "Te", "I"], "frac_coords": [[0.000, 0.000, 0.000], [0.275, 0.275, 0.275], [0.725, 0.725, 0.725], [0.500, 0.500, 0.500]]}


{"formula": "Fe3Se", "functional": "PBE", "state": "optimized geometry", "magnetic_moment_mub_per_atom": 1.8348, "crystal_system": "trigonal", "energy_ev_per_cell": -27.7, "formation_energy_uncorrected_ev_per_fu": 1.19, "lattice": [[1.457, 0.841, 7.392], [-1.457, 0.841, 7.392], [0.000, -1.682, 7.392]], "species": ["Fe", "Fe", "Fe", "Se"], "frac_coords": [[0.000, 0.000, 0.000], [0.251, 0.251, 0.251], [0.749, 0.749, 0.749], [0.500, 0.500, 0.500]]}


{"formula": "LaW", "functional": "PBE", "state": "optimized geometry", "magnetic_moment_mub_per_atom": 0.0000, "crystal_system": "trigonal", "energy_ev_per_cell": -33.2, "formation_energy_mev_per_atom": 633.1, "lattice": [[1.660, 0.959, 9.866], [-1.660, 0.959, 9.866], [0.000, -1.917, 9.866]], "species": ["La", "La", "W", "W"], "frac_coords": [[0.118, 0.118, 0.118], [0.882, 0.882, 0.882], [0.362, 0.362, 0.362], [0.638, 0.638, 0.638]]}